1.
# Ce2SnSe6 PBE-GGA relaxed
data_Ce2SnSe6
_space_group_name_H-M_alt 'P 1'
_space_group_IT_number 1
_space_group_name_Hall 'P 1'
_cell_length_a 6.5514
_cell_length_b 6.5514
_cell_length_c 13.0072
_cell_angle_alpha 90.00
_cell_angle_beta 90.00
_cell_angle_gamma 90.00
loop_
_atom_site_label
_atom_site_type_symbol
_atom_site_fract_x
_atom_site_fract_y
_atom_site_fract_z
_atom_site_occupancy
Ce1 Ce 0.0000 0.0000 0.1661 1
Ce2 Ce 0.0000 0.0000 0.8339 1
Ce3 Ce 0.5000 0.5000 0.3339 1
Ce4 Ce 0.5000 0.5000 0.6661 1
Sn1 Sn 0.0000 0.0000 0.5000 1
Sn2 Sn 0.5000 0.5000 0.0000 1
Se1 Se 0.1914 0.1914 0.3408 1
Se2 Se 0.1914 0.1914 0.6592 1
Se3 Se 0.1983 0.1983 0.0000 1
Se4 Se 0.3017 0.6983 0.5000 1
Se5 Se 0.3086 0.6914 0.1592 1
Se6 Se 0.3086 0.6914 0.8408 1
Se7 Se 0.6914 0.3086 0.1592 1
Se8 Se 0.6914 0.3086 0.8408 1
Se9 Se 0.6983 0.3017 0.5000 1
Se10 Se 0.8017 0.8017 0.0000 1
Se11 Se 0.8086 0.8086 0.3408 1
Se12 Se 0.8086 0.8086 0.6592 1
# **Uncorrected formation energy**: -97.78 kJ per mole of atoms



2.
# Ce2SnSe4 PBE-GGA relaxed
data_Ce2SnSe4
_space_group_name_H-M_alt 'P 1'
_space_group_IT_number 1
_space_group_name_Hall 'P 1'
_cell_length_a 12.2238
_cell_length_b 4.2961
_cell_length_c 15.3647
_cell_angle_alpha 90.00
_cell_angle_beta 90.00
_cell_angle_gamma 90.00
loop_
_atom_site_label
_atom_site_type_symbol
_atom_site_fract_x
_atom_site_fract_y
_atom_site_fract_z
_atom_site_occupancy
Ce1 Ce 0.0602 0.2500 0.1018 1
Ce2 Ce 0.1046 0.2500 0.5953 1
Ce3 Ce 0.3954 0.7500 0.0953 1
Ce4 Ce 0.4398 0.7500 0.6018 1
Ce5 Ce 0.5602 0.2500 0.3982 1
Ce6 Ce 0.6046 0.2500 0.9047 1
Ce7 Ce 0.8954 0.7500 0.4047 1
Ce8 Ce 0.9398 0.7500 0.8982 1
Sn1 Sn 0.2364 0.2500 0.8361 1
Sn2 Sn 0.2636 0.7500 0.3361 1
Sn3 Sn 0.7364 0.2500 0.6639 1
Sn4 Sn 0.7636 0.7500 0.1639 1
Se1 Se 0.0161 0.2500 0.7867 1
Se2 Se 0.0573 0.2500 0.4102 1
Se3 Se 0.1594 0.7500 0.9893 1
Se4 Se 0.2348 0.7500 0.6958 1
Se5 Se 0.2652 0.2500 0.1958 1
Se6 Se 0.3406 0.2500 0.4893 1
Se7 Se 0.4427 0.7500 0.9102 1
Se8 Se 0.4839 0.7500 0.2867 1
Se9 Se 0.5161 0.2500 0.7133 1
Se10 Se 0.5573 0.2500 0.0898 1
Se11 Se 0.6594 0.7500 0.5107 1
Se12 Se 0.7348 0.7500 0.8042 1
Se13 Se 0.7652 0.2500 0.3042 1
Se14 Se 0.8406 0.2500 0.0107 1
Se15 Se 0.9427 0.7500 0.5898 1
Se16 Se 0.9839 0.7500 0.2133 1
# **Distance to the lowest polymorph of the same formula**: 0.2 kJ per mole of atoms
# **Uncorrected formation energy**: -130.31 kJ per mole of atoms



3.
# CeSnSe4 PBE-GGA relaxed
data_CeSnSe4
_space_group_name_H-M_alt 'P 1'
_space_group_IT_number 1
_space_group_name_Hall 'P 1'
_cell_length_a 6.8633
_cell_length_b 6.8737
_cell_length_c 7.0930
_cell_angle_alpha 90.00
_cell_angle_beta 97.47
_cell_angle_gamma 90.00
loop_
_atom_site_label
_atom_site_type_symbol
_atom_site_fract_x
_atom_site_fract_y
_atom_site_fract_z
_atom_site_occupancy
Ce1 Ce 0.0000 0.0000 0.0000 1
Ce2 Ce 0.0000 0.5000 0.5000 1
Sn1 Sn 0.5000 0.0000 0.5000 1
Sn2 Sn 0.5000 0.5000 0.0000 1
Se1 Se 0.1829 0.1876 0.3410 1
Se2 Se 0.1829 0.3124 0.8410 1
Se3 Se 0.2967 0.7151 0.2571 1
Se4 Se 0.2967 0.7849 0.7571 1
Se5 Se 0.7033 0.2151 0.2429 1
Se6 Se 0.7033 0.2849 0.7429 1
Se7 Se 0.8171 0.6876 0.1590 1
Se8 Se 0.8171 0.8124 0.6590 1
# **Uncorrected formation energy**: -81.22 kJ per mole of atoms



4.
# Ce6Sn3Se14 PBE-GGA relaxed
data_Ce6Sn3Se14
_space_group_name_H-M_alt 'P 1'
_space_group_IT_number 1
_space_group_name_Hall 'P 1'
_cell_length_a 10.2374
_cell_length_b 10.2374
_cell_length_c 7.0151
_cell_angle_alpha 90.00
_cell_angle_beta 90.00
_cell_angle_gamma 120.00
loop_
_atom_site_label
_atom_site_type_symbol
_atom_site_fract_x
_atom_site_fract_y
_atom_site_fract_z
_atom_site_occupancy
Ce1 Ce 0.0364 0.5336 0.0000 1
Ce2 Ce 0.2949 0.1330 0.5360 1
Ce3 Ce 0.4664 0.5028 0.0000 1
Ce4 Ce 0.4972 0.9636 0.0000 1
Ce5 Ce 0.8381 0.7051 0.5360 1
Ce6 Ce 0.8670 0.1619 0.5360 1
Sn1 Sn 0.0000 0.0000 0.9675 1
Sn2 Sn 0.3333 0.6667 0.4350 1
Sn3 Sn 0.6667 0.3333 0.3300 1
Se1 Se 0.0000 0.0000 0.3729 1
Se2 Se 0.1221 0.8567 0.7717 1
Se3 Se 0.1433 0.2654 0.7717 1
Se4 Se 0.1941 0.4100 0.2569 1
Se5 Se 0.2159 0.8059 0.2569 1
Se6 Se 0.3333 0.6667 0.8158 1
Se7 Se 0.4001 0.1932 0.1130 1
Se8 Se 0.5270 0.4589 0.6087 1
Se9 Se 0.5411 0.0680 0.6087 1
Se10 Se 0.5900 0.7841 0.2569 1
Se11 Se 0.7346 0.8779 0.7717 1
Se12 Se 0.7931 0.5999 0.1130 1
Se13 Se 0.8068 0.2069 0.1130 1
Se14 Se 0.9320 0.4730 0.6087 1
# **Uncorrected formation energy**: -124.47 kJ per mole of atoms



5.
# Ce3SnSe PBE-GGA relaxed
data_Ce3SnSe
_space_group_name_H-M_alt 'P 1'
_space_group_IT_number 1
_space_group_name_Hall 'P 1'
_cell_length_a 4.1505
_cell_length_b 8.3854
_cell_length_c 9.5454
_cell_angle_alpha 111.21
_cell_angle_beta 95.40
_cell_angle_gamma 98.37
loop_
_atom_site_label
_atom_site_type_symbol
_atom_site_fract_x
_atom_site_fract_y
_atom_site_fract_z
_atom_site_occupancy
Ce1 Ce 0.0588 0.3981 0.3668 1
Ce2 Ce 0.1021 0.7639 0.1245 1
Ce3 Ce 0.3069 0.1994 0.5235 1
Ce4 Ce 0.6931 0.8006 0.4765 1
Ce5 Ce 0.8979 0.2361 0.8755 1
Ce6 Ce 0.9412 0.6019 0.6332 1
Sn1 Sn 0.4732 0.5318 0.8551 1
Sn2 Sn 0.5268 0.4682 0.1449 1
Se1 Se 0.2912 0.9784 0.7128 1
Se2 Se 0.7088 0.0216 0.2872 1
# **Uncorrected formation energy**: -74.48 kJ per mole of atoms



6.
# CeSn6Se8 PBE-GGA relaxed
data_CeSn6Se8
_space_group_name_H-M_alt 'P 1'
_space_group_IT_number 1
_space_group_name_Hall 'P 1'
_cell_length_a 8.1325
_cell_length_b 8.1325
_cell_length_c 8.1325
_cell_angle_alpha 75.61
_cell_angle_beta 75.61
_cell_angle_gamma 75.61
loop_
_atom_site_label
_atom_site_type_symbol
_atom_site_fract_x
_atom_site_fract_y
_atom_site_fract_z
_atom_site_occupancy
Ce1 Ce 0.0000 0.0000 0.0000 1
Sn1 Sn 0.1346 0.6316 0.3762 1
Sn2 Sn 0.3684 0.6238 0.8654 1
Sn3 Sn 0.3762 0.1346 0.6316 1
Sn4 Sn 0.6238 0.8654 0.3684 1
Sn5 Sn 0.6316 0.3762 0.1346 1
Sn6 Sn 0.8654 0.3684 0.6238 1
Se1 Se 0.1074 0.3264 0.8304 1
Se2 Se 0.1696 0.8926 0.6736 1
Se3 Se 0.3059 0.3059 0.3059 1
Se4 Se 0.3264 0.8304 0.1074 1
Se5 Se 0.6736 0.1696 0.8926 1
Se6 Se 0.6941 0.6941 0.6941 1
Se7 Se 0.8304 0.1074 0.3264 1
Se8 Se 0.8926 0.6736 0.1696 1
# **Distance to the lowest polymorph of the same formula**: 0.4 kJ per mole of atoms
# **Uncorrected formation energy**: -57.77 kJ per mole of atoms



7.
# Ce2SnSe5 PBE-GGA relaxed
data_Ce2SnSe5
_space_group_name_H-M_alt 'P 1'
_space_group_IT_number 1
_space_group_name_Hall 'P 1'
_cell_length_a 7.4523
_cell_length_b 7.4523
_cell_length_c 14.0320
_cell_angle_alpha 90.00
_cell_angle_beta 90.00
_cell_angle_gamma 135.11
loop_
_atom_site_label
_atom_site_type_symbol
_atom_site_fract_x
_atom_site_fract_y
_atom_site_fract_z
_atom_site_occupancy
Ce1 Ce 0.1446 0.8554 0.5608 1
Ce2 Ce 0.1446 0.8554 0.9392 1
Ce3 Ce 0.8554 0.1446 0.0608 1
Ce4 Ce 0.8554 0.1446 0.4392 1
Sn1 Sn 0.2037 0.7963 0.2500 1
Sn2 Sn 0.7963 0.2037 0.7500 1
Se1 Se 0.0496 0.9504 0.1163 1
Se2 Se 0.0496 0.9504 0.3837 1
Se3 Se 0.2403 0.7597 0.7500 1
Se4 Se 0.3182 0.6818 0.0607 1
Se5 Se 0.3182 0.6818 0.4393 1
Se6 Se 0.6818 0.3182 0.5607 1
Se7 Se 0.6818 0.3182 0.9393 1
Se8 Se 0.7597 0.2403 0.2500 1
Se9 Se 0.9504 0.0496 0.6163 1
Se10 Se 0.9504 0.0496 0.8837 1
# **Distance to the lowest polymorph of the same formula**: 6.1 kJ per mole of atoms
# **Uncorrected formation energy**: -120.02 kJ per mole of atoms



8.
# Ce6SnSe5 PBE-GGA relaxed
data_Ce6SnSe5
_space_group_name_H-M_alt 'P 1'
_space_group_IT_number 1
_space_group_name_Hall 'P 1'
_cell_length_a 7.3717
_cell_length_b 7.3717
_cell_length_c 7.3848
_cell_angle_alpha 99.58
_cell_angle_beta 99.58
_cell_angle_gamma 120.01
loop_
_atom_site_label
_atom_site_type_symbol
_atom_site_fract_x
_atom_site_fract_y
_atom_site_fract_z
_atom_site_occupancy
Ce1 Ce 0.0708 0.4141 0.7426 1
Ce2 Ce 0.2409 0.2409 0.2540 1
Ce3 Ce 0.4141 0.0708 0.7426 1
Ce4 Ce 0.5859 0.9292 0.2574 1
Ce5 Ce 0.7591 0.7591 0.7460 1
Ce6 Ce 0.9292 0.5859 0.2574 1
Sn1 Sn 0.5000 0.5000 0.0000 1
Se1 Se 0.0000 0.0000 0.5000 1
Se2 Se 0.1675 0.8325 0.0000 1
Se3 Se 0.3380 0.6620 0.5000 1
Se4 Se 0.6620 0.3380 0.5000 1
Se5 Se 0.8325 0.1675 0.0000 1
# **Uncorrected formation energy**: -154.26 kJ per mole of atoms



> Look up the uncorrected formation energy of the first one.

-97.78 kJ per mole of atoms



> Look up the uncorrected formation energy of the fourth one.

-124.47 kJ per mole of atoms



> The highest uncorrected formation energy belongs to which entry?

CeSn6Se8